Density functional theory data (PBE-GGA) for an optimized crystal structure of Cu2Pb.

a = 4.6861 Å, b = 4.6861 Å, c = 5.6214 Å
α = 90.00°, β = 90.00°, γ = 120.00°
Space group P6_3/mmc (No. 194)
Unique sites:
Cu 0.0000 0.0000 0.0000 (multiplicity 2)
Cu 0.3333 0.6667 0.2500 (multiplicity 2)
Pb 0.3333 0.6667 0.7500 (multiplicity 2)

Results
density of states at the Fermi level	0.39	states/eV per atom
DFT total energy	-21.8	eV for the cell shown
crystal system	hexagonal
formation energy	0.34	eV/atom